Record 1
Computed, not measured: Ba4SmPa3N8 after structural relaxation at the GGA-PBE level of DFT.

Calculated values
ΔE_f (raw) = -120.07 kJ per mole of atoms
Density of states at the Fermi level = 0.3194 states/eV per atom
Crystal system = trigonal
Size of the total moment = 0.00 Bohr magnetons per cell
Raw total energy = -7.963 eV per atom

Lattice parameters (Å, degrees): 7.3094 7.3094 19.3867 90.00 90.00 120.00
With the nearest neighbours (Å) after each atom.
Space group R-3m (No. 166, hexagonal axes)
Symmetry-distinct sites (fractional):
Ba (0.0000, 0.0000, 0.0000) (multiplicity 3)  6 N 2.88
Ba (0.0000, 0.5000, 0.0000) (multiplicity 9)  6 N 2.98-3.02
Sm (0.0000, 0.0000, 0.5000) (multiplicity 3)  6 N 2.52
Pa (0.0000, 0.5000, 0.5000) (multiplicity 9)  6 N 2.34-2.39
N (0.0000, 0.0000, 0.2250) (multiplicity 6)  3 Pa 2.39
N (0.0219, 0.5110, 0.7747) (multiplicity 18)  2 Pa 2.34, 1 Sm 2.52



Record 2
Computed, not measured: Ba4Pa3SnN8 after structural relaxation at the GGA-PBE level of DFT.

Calculated values
ΔE_f (raw) = -94.02 kJ per mole of atoms
Density of states at the Fermi level = 0.2650 states/eV per atom
Crystal system = trigonal
Size of the total moment = 0.00 Bohr magnetons per cell
Raw total energy = -7.648 eV per atom

Lattice parameters (Å, degrees): 7.3997 7.3997 19.0357 90.00 90.00 120.00
With the nearest neighbours (Å) after each atom.
Space group R-3m (No. 166, hexagonal axes)
Symmetry-distinct sites (fractional):
Ba (0.0000, 0.0000, 0.0000) (multiplicity 3)  6 N 2.78
Ba (0.0000, 0.5000, 0.0000) (multiplicity 9)  6 N 2.92-3.05
Pa (0.0000, 0.5000, 0.5000) (multiplicity 9)  6 N 2.32-2.44
Sn (0.0000, 0.0000, 0.5000) (multiplicity 3)  6 N 2.64
N (0.0000, 0.0000, 0.2289) (multiplicity 6)  3 Pa 2.44
N (0.0388, 0.5194, 0.7736) (multiplicity 18)  2 Pa 2.32



Record 3
Computed, not measured: Ba3SrPa2N6 after structural relaxation at the GGA-PBE level of DFT.

Calculated values
ΔE_f (raw) = -105.08 kJ per mole of atoms
Density of states at the Fermi level = 0.1100 states/eV per atom
Crystal system = monoclinic
Size of the total moment = 0.00 Bohr magnetons per cell
Raw total energy = -7.455 eV per atom

Lattice parameters (Å, degrees): 16.7926 3.7504 7.6742 90.00 105.81 90.00
With the nearest neighbours (Å) after each atom.
Space group C2/m (No. 12)
Symmetry-distinct sites (fractional):
Ba (0.0000, 0.0000, 0.0000) (multiplicity 2)  6 N 2.79-3.07
Ba (0.1632, 0.5000, 0.3298) (multiplicity 4)  5 N 2.68-2.96
Sr (0.0000, 0.0000, 0.5000) (multiplicity 2)  6 N 2.70-2.81
Pa (0.1695, 0.5000, 0.8306) (multiplicity 4)  2 N 2.15-2.32
N (0.0363, 0.5000, 0.7630) (multiplicity 4)  1 Pa 2.15
N (0.1733, 0.0000, 0.6339) (multiplicity 4)  2 Pa 2.42, 1 Ba 2.68
N (0.1879, 0.0000, 0.0501) (multiplicity 4)  3 Pa 2.32-2.48



What is the ΔE_f (raw) in the third record?
-105.08 kJ per mole of atoms